1.
Entry from Alexandria: a relaxed structure of NaReF5 (PBE).

Values from the calculation:
**ΔE_f (raw)**: -2.244 eV/atom

a = 5.7548 Å, b = 5.7548 Å, c = 7.8332 Å
α = 70.17°, β = 70.17°, γ = 73.10°
Each line ends with the local moment (μB).
Positions (direct):
Na 0.5195 0.4806 0.7501  0.00
Na 0.4806 0.5195 0.2501  0.00
Re 0.9999 0.0001 0.0000  2.38
Re 0.0001 0.9999 0.5000  2.38
F 0.2610 0.2027 0.8779  0.10
F 0.3016 0.7362 0.5300  0.08
F 0.2027 0.2610 0.3779  0.10
F 0.9166 0.0834 0.7500  0.04
F 0.2635 0.6986 0.9699  0.08
F 0.7362 0.3016 0.0300  0.08
F 0.0834 0.9166 0.2500  0.04
F 0.7976 0.7387 0.6221  0.10
F 0.6986 0.2635 0.4699  0.08
F 0.7387 0.7976 0.1221  0.10

2.
Entry from Alexandria: a relaxed structure of ScReIr (PBE).

Values from the calculation:
**Energy of formation**: -0.191 eV per atom
**ΔE to the lowest computed polymorph**: 0.1232 eV/atom

a = 4.5013 Å, b = 4.5013 Å, c = 2.8390 Å
α = 90.00°, β = 90.00°, γ = 120.00°
Positions (direct):
Ir 0.0000 0.0000 0.1666
Re 0.6667 0.3333 0.1666
Sc 0.3333 0.6667 0.6668

3.
Entry from Alexandria: a relaxed structure of Te3HOs (PBE).

Values from the calculation:
**ΔE to the lowest computed polymorph**: 0.1055 eV/atom

a = 4.5416 Å, b = 4.5416 Å, c = 4.5416 Å
α = 90.00°, β = 90.00°, γ = 90.00°
Positions (direct):
H 0.0000 0.0000 0.0000
Te 0.0000 0.5000 0.0000
Te 0.0000 0.0000 0.5000
Te 0.5000 0.0000 0.0000
Os 0.5000 0.5000 0.5000

4.
Entry from Alexandria: a relaxed structure of GaSiAsS (PBE).

Values from the calculation:
**ΔE_f (raw)**: -0.351 eV/atom

a = 3.6836 Å, b = 3.6836 Å, c = 8.6084 Å
α = 89.98°, β = 89.98°, γ = 60.00°
Positions (direct):
Ga 0.2394 0.2394 0.2043
Si 0.2392 0.2392 0.4842
As 0.9057 0.9057 0.6128
S 0.5728 0.5728 0.0827